1.
Ba2SrAg2 | PBE | relaxed

Calculated values
- Formation enthalpy at 0 K: -0.33 eV/f.u.
- Polymorph energy (0 for the lowest one): 176 meV per atom
- Crystal system: tetragonal

a b c (Å): 5.3550 5.3550 14.2724
angles (deg): 90.00 90.00 90.00
Closest atoms and distances in Å follow each position.
Element x y z (fractional)
Ba 0.0000 0.5000 0.2500  4 Ag 3.45, 4 Ba 3.79
Ba 0.0000 0.5000 0.7500  4 Ag 3.45, 4 Ba 3.79
Ba 0.5000 0.0000 0.2500  4 Ag 3.45, 4 Ba 3.79
Ba 0.5000 0.0000 0.7500  4 Ag 3.45, 4 Ba 3.79
Sr 0.0000 0.0000 0.0000  8 Ag 4.03, 8 Ba 4.46
Sr 0.5000 0.5000 0.5000  8 Ag 4.03, 8 Ba 4.46
Ag 0.0000 0.0000 0.4029  1 Ag 2.77
Ag 0.0000 0.0000 0.5971  1 Ag 2.77
Ag 0.5000 0.5000 0.0971  1 Ag 2.77
Ag 0.5000 0.5000 0.9029  1 Ag 2.77



2.
Ba12SrAg5 | PBE | relaxed

Calculated values
- Formation enthalpy at 0 K: -2.48 eV/f.u.
- Crystal system: orthorhombic

a b c (Å): 10.4212 10.4212 10.4212
angles (deg): 113.07 110.93 104.52
Closest atoms and distances in Å follow each position.
Element x y z (fractional)
Ba 0.0246 0.2136 0.8110  2 Ag 3.46-3.52
Ba 0.1793 0.2875 0.4668  3 Ag 3.55-3.92
Ba 0.1793 0.7125 0.8918  3 Ag 3.55-3.92
Ba 0.3212 0.0094 0.6882  3 Ag 3.41-3.50
Ba 0.3212 0.6329 0.3118  3 Ag 3.41-3.50
Ba 0.4026 0.2136 0.1890  2 Ag 3.46-3.52
Ba 0.5974 0.7864 0.8110  2 Ag 3.46-3.52
Ba 0.6788 0.3671 0.6882  3 Ag 3.41-3.50
Ba 0.6788 0.9906 0.3118  3 Ag 3.41-3.50
Ba 0.8207 0.2875 0.1082  3 Ag 3.55-3.92
Ba 0.8207 0.7125 0.5332  3 Ag 3.55-3.92
Ba 0.9754 0.7864 0.1890  2 Ag 3.46-3.52
Sr 0.5000 0.5000 0.0000  12 Ba 4.25-4.51
Ag 0.0000 0.0000 0.0000  8 Ba 3.52-3.92
Ag 0.1141 0.6141 0.5000  1 Ag 2.91
Ag 0.3696 0.0000 0.3696  1 Ag 3.08
Ag 0.6304 0.0000 0.6304  1 Ag 3.08
Ag 0.8859 0.3859 0.5000  1 Ag 2.91



3.
BaSrAg | PBE | relaxed

Calculated values
- Formation enthalpy at 0 K: -0.35 eV/f.u.
- Polymorph energy (0 for the lowest one): 79 meV per atom
- Crystal system: trigonal

a b c (Å): 4.7227 4.7227 7.4733
angles (deg): 90.00 90.00 120.00
Closest atoms and distances in Å follow each position.
Element x y z (fractional)
Ba 0.0000 0.0000 0.0000  3 Ag 3.35
Sr 0.3333 0.6667 0.5088  3 Ag 3.22
Ag 0.6667 0.3333 0.7390  3 Sr 3.22, 3 Ba 3.35



Number 1: density of states at the Fermi level 0.53 states/eV/atom, E_tot -2.31 eV per atom, calculated density 4.7 g/cm3. Number 2: density of states at the Fermi level 1.05 states/eV/atom, E_tot -2.30 eV per atom, calculated density 4.4 g/cm3. Number 3: density of states at the Fermi level 1.26 states/eV/atom, E_tot -2.27 eV per atom, calculated density 3.8 g/cm3.